The following is a DFT calculation (PBE) of a relaxed SrCa3Hg4 crystal.

Results
total energy = -13.17 eV/cell
mass density = 7.38 g cm⁻³
size of the total moment = 0.00 μB per formula unit
formation energy from the elements = -412 kJ/mol of formula units
Fermi-level density of states = 6.03 states/eV/cell

CIF file:
```
data_SrCa3Hg4
_cell_length_a 5.456
_cell_length_b 5.456
_cell_length_c 7.633
_cell_angle_alpha 90.00
_cell_angle_beta 90.00
_cell_angle_gamma 90.00
_space_group_name_H-M_alt 'P 4/m m m'
_space_group_IT_number 123
_space_group_name_Hall '-P 4 2'
loop_
_atom_site_label
_atom_site_type_symbol
_atom_site_fract_x
_atom_site_fract_y
_atom_site_fract_z
_atom_site_occupancy
Sr1 Sr 0.000 0.000 0.000 1
Ca1 Ca 0.000 0.000 0.500 1
Ca2 Ca 0.500 0.500 0.000 1
Ca3 Ca 0.500 0.500 0.500 1
Hg1 Hg 0.000 0.500 0.260 1
```

***

The following is a DFT calculation (PBE) of a relaxed Sr4CaHg crystal.

Results
total energy = -10.09 eV/cell
E above lowest polymorph = 0 meV/atom
mass density = 3.64 g cm⁻³
size of the total moment = 0.00 μB per formula unit
formation energy from the elements = -102 kJ/mol of formula units
Fermi-level density of states = 6.94 states/eV/cell

CIF file:
```
data_Sr4CaHg
_cell_length_a 4.085
_cell_length_b 4.085
_cell_length_c 16.142
_cell_angle_alpha 90.00
_cell_angle_beta 90.00
_cell_angle_gamma 90.00
_space_group_name_H-M_alt 'P 4/m m m'
_space_group_IT_number 123
_space_group_name_Hall '-P 4 2'
loop_
_atom_site_label
_atom_site_type_symbol
_atom_site_fract_x
_atom_site_fract_y
_atom_site_fract_z
_atom_site_occupancy
Sr1 Sr 0.000 0.000 0.118 1
Sr2 Sr 0.500 0.500 0.320 1
Ca1 Ca 0.000 0.000 0.500 1
Hg1 Hg 0.500 0.500 0.000 1
```

***

The following is a DFT calculation (PBE) of a relaxed Sr2CaHg crystal.

Results
total energy = -24.03 eV/cell
mass density = 4.71 g cm⁻³
size of the total moment = 0.00 μB per formula unit
formation energy from the elements = -33 kJ/mol of formula units
Fermi-level density of states = 12.79 states/eV/cell

CIF file:
```
data_Sr2CaHg
_cell_length_a 8.372
_cell_length_b 8.372
_cell_length_c 8.372
_cell_angle_alpha 90.00
_cell_angle_beta 90.00
_cell_angle_gamma 90.00
_space_group_name_H-M_alt 'F -4 3 m'
_space_group_IT_number 216
_space_group_name_Hall 'F -4 2 3'
loop_
_atom_site_label
_atom_site_type_symbol
_atom_site_fract_x
_atom_site_fract_y
_atom_site_fract_z
_atom_site_occupancy
Sr1 Sr 0.000 0.000 0.000 1
Sr2 Sr 0.250 0.250 0.250 1
Ca1 Ca 0.000 0.000 0.500 1
Hg1 Hg 0.250 0.250 0.750 1
```

***

The following is a DFT calculation (PBE) of a relaxed SrCa2Hg crystal.

Results
total energy = -12.97 eV/cell
mass density = 4.25 g cm⁻³
size of the total moment = 0.00 μB per formula unit
formation energy from the elements = -48 kJ/mol of formula units
Fermi-level density of states = 8.99 states/eV/cell

CIF file:
```
data_SrCa2Hg
_cell_length_a 5.175
_cell_length_b 5.175
_cell_length_c 10.752
_cell_angle_alpha 90.00
_cell_angle_beta 90.00
_cell_angle_gamma 90.00
_space_group_name_H-M_alt 'I -4 m 2'
_space_group_IT_number 119
_space_group_name_Hall 'I -4 -2'
loop_
_atom_site_label
_atom_site_type_symbol
_atom_site_fract_x
_atom_site_fract_y
_atom_site_fract_z
_atom_site_occupancy
Sr1 Sr 0.000 0.000 0.000 1
Ca1 Ca 0.000 0.000 0.500 1
Ca2 Ca 0.000 0.500 0.750 1
Hg1 Hg 0.000 0.500 0.250 1
```

***

The following is a DFT calculation (PBE) of a relaxed SrCa2Hg2 crystal.

Results
total energy = -16.26 eV/cell
E above lowest polymorph = 82 meV/atom
mass density = 5.50 g cm⁻³
size of the total moment = 0.00 μB per formula unit
formation energy from the elements = -178 kJ/mol of formula units
Fermi-level density of states = 9.16 states/eV/cell

CIF file:
```
data_SrCa2Hg2
_cell_length_a 5.002
_cell_length_b 5.002
_cell_length_c 13.730
_cell_angle_alpha 90.00
_cell_angle_beta 90.00
_cell_angle_gamma 90.00
_space_group_name_H-M_alt 'I 4/m m m'
_space_group_IT_number 139
_space_group_name_Hall '-I 4 2'
loop_
_atom_site_label
_atom_site_type_symbol
_atom_site_fract_x
_atom_site_fract_y
_atom_site_fract_z
_atom_site_occupancy
Sr1 Sr 0.000 0.000 0.000 1
Ca1 Ca 0.000 0.500 0.250 1
Hg1 Hg 0.000 0.000 0.394 1
```

***

The following is a DFT calculation (PBE) of a relaxed SrCa2Hg8 crystal.

Results
total energy = -23.78 eV/cell
mass density = 9.52 g cm⁻³
size of the total moment = 0.00 μB per formula unit
formation energy from the elements = -366 kJ/mol of formula units
Fermi-level density of states = 9.92 states/eV/cell

CIF file:
```
data_SrCa2Hg8
_cell_length_a 16.156
_cell_length_b 6.244
_cell_length_c 6.172
_cell_angle_alpha 90.00
_cell_angle_beta 96.53
_cell_angle_gamma 90.00
_space_group_name_H-M_alt 'C 1 2/m 1'
_space_group_IT_number 12
loop_
_space_group_symop_operation_xyz
'x,y,z'
'-x,-y,-z'
'-x,y,-z'
'x,-y,z'
'x+1/2,y+1/2,z'
'-x+1/2,-y+1/2,-z'
'-x+1/2,y+1/2,-z'
'x+1/2,-y+1/2,z'
loop_
_atom_site_label
_atom_site_type_symbol
_atom_site_fract_x
_atom_site_fract_y
_atom_site_fract_z
_atom_site_occupancy
Sr1 Sr 0.000 0.000 0.000 1
Ca1 Ca 0.246 0.500 0.294 1
Hg1 Hg 0.091 0.500 0.944 1
Hg2 Hg 0.092 0.254 0.493 1
Hg3 Hg 0.208 0.000 0.174 1
```

***

The following is a DFT calculation (PBE) of a relaxed Sr3Ca4Hg4 crystal.

Results
total energy = -37.55 eV/cell
mass density = 5.31 g cm⁻³
size of the total moment = 0.00 μB per formula unit
formation energy from the elements = -436 kJ/mol of formula units
Fermi-level density of states = 18.72 states/eV/cell

CIF file:
```
data_Sr3Ca4Hg4
_cell_length_a 4.268
_cell_length_b 9.786
_cell_length_c 18.345
_cell_angle_alpha 90.00
_cell_angle_beta 90.00
_cell_angle_gamma 90.00
_space_group_name_H-M_alt 'I m m m'
_space_group_IT_number 71
_space_group_name_Hall '-I 2 2'
loop_
_atom_site_label
_atom_site_type_symbol
_atom_site_fract_x
_atom_site_fract_y
_atom_site_fract_z
_atom_site_occupancy
Sr1 Sr 0.000 0.000 0.000 1
Sr2 Sr 0.000 0.500 0.102 1
Ca1 Ca 0.000 0.312 0.330 1
Hg1 Hg 0.000 0.000 0.254 1
Hg2 Hg 0.000 0.213 0.500 1
```

***

The following is a DFT calculation (PBE) of a relaxed SrCaHg2 crystal.

Results
total energy = -25.69 eV/cell
E above lowest polymorph = 2 meV/atom
mass density = 7.38 g cm⁻³
size of the total moment = 0.00 μB per formula unit
formation energy from the elements = -206 kJ/mol of formula units
Fermi-level density of states = 9.93 states/eV/cell

CIF file:
```
data_SrCaHg2
_cell_length_a 7.835
_cell_length_b 11.050
_cell_length_c 5.495
_cell_angle_alpha 90.00
_cell_angle_beta 90.00
_cell_angle_gamma 90.00
_space_group_name_H-M_alt 'C m c m'
_space_group_IT_number 63
_space_group_name_Hall '-C 2c 2'
loop_
_atom_site_label
_atom_site_type_symbol
_atom_site_fract_x
_atom_site_fract_y
_atom_site_fract_z
_atom_site_occupancy
Sr1 Sr 0.000 0.126 0.250 1
Ca1 Ca 0.000 0.376 0.750 1
Hg1 Hg 0.240 0.376 0.250 1
```